Here is a relaxed structure of Rb2AcMnO4 from the Alexandria database. Energies are from GGA+U.

Unit cell a=6.1686 b=7.6488 c=7.5130 alpha=90.00 beta=90.00 gamma=90.00
Last column: nearest neighbours and their distance in Å.
Element x y z (fractional)
Rb 0.4801 0.3587 0.2698  3 O 2.63-2.91
Rb 0.4801 0.3587 0.7302  3 O 2.63-2.91
Rb 0.9801 0.6413 0.7698  3 O 2.63-2.91
Rb 0.9801 0.6413 0.2302  3 O 2.63-2.91
Ac 0.9892 0.0893 0.5000  4 O 2.35-2.41
Ac 0.4892 0.9107 0.0000  4 O 2.35-2.41
Mn 0.5009 0.8239 0.5000  4 O 1.93-1.95
Mn 0.0009 0.1761 0.0000  4 O 1.93-1.95
O 0.3128 0.1873 0.0000  1 Mn 1.93
O 0.8128 0.8127 0.5000  1 Mn 1.93
O 0.3682 0.0552 0.5000  1 Mn 1.95
O 0.8682 0.9448 0.0000  1 Mn 1.95
O 0.4344 0.7368 0.7359  1 Mn 1.94
O 0.9344 0.2632 0.2359  1 Mn 1.94
O 0.9344 0.2632 0.7641  1 Mn 1.94
O 0.4344 0.7368 0.2641  1 Mn 1.94

* calculated total energy: -6.069 eV per atom